Material: Sr2CoSO3
Method: DFT, PBE with a Hubbard U
State: optimized geometry

Summary:
Raw total energy (eV per atom): -5.6669
Spin magnetization (μB/atom): 0.428

a = 4.0292 Å, b = 4.0292 Å, c = 13.5275 Å
α = 90.00°, β = 90.00°, γ = 90.00°
Last column: nearest neighbours and their distance in Å.
Space group P4/nmm (No. 129, origin choice 2)
Inequivalent atoms, fractional coordinates:
Sr 0.2500 0.2500 0.1034 (multiplicity 2)  5 O 2.51-2.62
Sr 0.2500 0.2500 0.3568 (multiplicity 2)  4 O 2.67, 4 S 2.92
Co 0.2500 0.2500 0.7803 (multiplicity 2)  5 O 1.86-2.02
S 0.2500 0.2500 0.5965 (multiplicity 2)  1 Co 2.49
O 0.2500 0.2500 0.9181 (multiplicity 2)  1 Co 1.86
O 0.2500 0.7500 0.2268 (multiplicity 4)  2 Co 2.02